Version A
The following is a DFT calculation (PBE-GGA) of crystalline YZr2Cl at its relaxed geometry.

Properties
theoretical density = 5.2 g/cm³
SG = Cmmm, No. 65

a = 5.8764 Å, b = 5.8764 Å, c = 3.3428 Å
α = 90.00°, β = 90.00°, γ = 121.90°
With the nearest neighbours (Å) after each atom.
Atoms (fractional coordinates):
Y: 0.0000 0.5000 0.5000  2 Cl 2.85
Cl: 0.5000 0.0000 0.5000  2 Y 2.85
Zr: 0.0000 0.0000 0.0000  2 Zr 2.85
Zr: 0.5000 0.5000 0.0000  2 Zr 2.85

***

Version B
The following is a DFT calculation (PBE-GGA) of crystalline YZr2Cl at its relaxed geometry.

Properties
theoretical density = 5.3 g/cm³
SG = R3m, No. 160

a = 9.7152 Å, b = 9.7152 Å, c = 9.7152 Å
α = 20.22°, β = 20.22°, γ = 20.22°
With the nearest neighbours (Å) after each atom.
Atoms (fractional coordinates):
Y: 0.7545 0.7545 0.7545  3 Cl 3.16, 3 Zr 3.32, 6 Y 3.41
Zr: 0.9943 0.9943 0.9943  9 Zr 3.10-3.41, 3 Y 3.32
Zr: 0.2435 0.2435 0.2435  3 Cl 2.79, 3 Zr 3.10
Cl: 0.5076 0.5076 0.5076  3 Zr 2.79

***

Version C
The following is a DFT calculation (PBE-GGA) of crystalline YZr2Cl at its relaxed geometry.

Properties
theoretical density = 5.2 g/cm³
SG = P4/mmm, No. 123

a = 5.4637 Å, b = 5.4637 Å, c = 3.2573 Å
α = 90.00°, β = 90.00°, γ = 90.00°
With the nearest neighbours (Å) after each atom.
Atoms (fractional coordinates):
Cl: 0.5000 0.0000 0.5000  8 Zr 3.18, 2 Cl 3.26
Y: 0.0000 0.5000 0.5000  8 Zr 3.18, 2 Y 3.26
Zr: 0.5000 0.5000 0.0000  4 Y 3.18, 4 Cl 3.18, 2 Zr 3.26
Zr: 0.0000 0.0000 0.0000  4 Cl 3.18, 4 Y 3.18, 2 Zr 3.26

***

Short version: version B is the most stable of them.